Entry from the Alexandria database: a PBEsol-optimized structure of TiRuS2 (meta-GGA SCAN).

Geometry as extended XYZ:
```
4
Lattice="4.203 0.000 0.000 2.102 3.640 0.000 2.102 1.213 3.432" Properties=species:S:1:pos:R:3 pbc="T T T"
Ru 4.203 2.427 1.716
S 2.102 1.213 0.858
S 6.305 3.640 2.574
Ti 0.000 0.000 0.000
```

Computed properties:
- Energy above the lowest structure with this stoichiometry: 0.097 eV/atom
- Magnetization: 0.0 μB per cell
- E_form (uncorrected): -0.4831 eV per atom
- SG: Fm-3m, No. 225